The following is a DFT calculation (PBE-GGA) of an optimized crystal structure of LaAlF3.

a = 4.748 Å, b = 4.748 Å, c = 4.748 Å
α = 90.00°, β = 90.00°, γ = 90.00°
Fractional coordinates of all 5 atoms:
La1 0.000 0.000 0.000
Al1 0.500 0.500 0.500
F1 0.000 0.000 0.500
F2 0.000 0.500 0.000
F3 0.500 0.000 0.000

Output
Space-group type: Pm-3m (221)
Total magnetic moment (μB per cell): 0.7
Distance to the lowest polymorph of the same formula (meV per atom): 0
D(E_F) (states/eV per atom): 0.4535
Theoretical density (g/cm3): 3.457
Energy (eV/atom): -5.50

---

The following is a DFT calculation (PBE-GGA) of an optimized crystal structure of P2WCl.

a = 4.021 Å, b = 4.021 Å, c = 7.357 Å
α = 90.00°, β = 90.00°, γ = 90.00°
Fractional coordinates of all 8 atoms:
P1 0.000 0.500 0.250
P2 0.000 0.500 0.750
P3 0.500 0.000 0.250
P4 0.500 0.000 0.750
W1 0.000 0.000 0.000
W2 0.500 0.500 0.500
Cl1 0.000 0.000 0.500
Cl2 0.500 0.500 0.000

Output
Space-group type: I4/mmm (139)
Total magnetic moment (μB per cell): 0.0
Distance to the lowest polymorph of the same formula (meV per atom): 829
D(E_F) (states/eV per atom): 0.4945
Theoretical density (g/cm3): 7.850
Energy (eV/atom): -5.71

---

The following is a DFT calculation (PBE-GGA) of an optimized crystal structure of Tb2Y6ErSc3.

a = 6.061 Å, b = 6.061 Å, c = 11.509 Å
α = 95.03°, β = 95.03°, γ = 119.97°
Fractional coordinates of all 12 atoms:
Tb1 0.167 0.833 0.000
Tb2 0.833 0.167 0.000
Y1 0.081 0.414 0.741
Y2 0.253 0.253 0.259
Y3 0.414 0.081 0.741
Y4 0.586 0.919 0.259
Y5 0.747 0.747 0.741
Y6 0.919 0.586 0.259
Er1 0.500 0.500 0.000
Sc1 0.000 0.000 0.500
Sc2 0.333 0.667 0.500
Sc3 0.667 0.333 0.500

Output
Space-group type: C2/m (12)
Total magnetic moment (μB per cell): 0.0
D(E_F) (states/eV per atom): 1.6028
Formation energy (eV per atom): 0.05
Theoretical density (g/cm3): 5.311
Energy (eV/atom): -5.92

---

The following is a DFT calculation (PBE-GGA) of an optimized crystal structure of NaTe2OsN.

a = 5.339 Å, b = 5.339 Å, c = 3.949 Å
α = 90.00°, β = 90.00°, γ = 90.00°
Fractional coordinates of all 5 atoms:
Na1 0.000 0.000 0.000
Te1 0.000 0.500 0.000
Te2 0.500 0.000 0.000
Os1 0.500 0.500 0.500
N1 0.000 0.000 0.500

Output
Space-group type: P4/mmm (123)
Total magnetic moment (μB per cell): 4.1
Distance to the lowest polymorph of the same formula (meV per atom): 1993
D(E_F) (states/eV per atom): 1.1328
Theoretical density (g/cm3): 7.115
Energy (eV/atom): -3.37

---

The following is a DFT calculation (PBE-GGA) of an optimized crystal structure of LiCu3H6Pd2.

a = 6.190 Å, b = 6.190 Å, c = 5.667 Å
α = 103.17°, β = 103.17°, γ = 26.79°
Fractional coordinates of all 12 atoms:
Li1 0.000 0.000 0.000
Cu1 0.000 0.000 0.500
Cu2 0.341 0.341 0.183
Cu3 0.659 0.659 0.817
H1 0.167 0.167 0.607
H2 0.169 0.169 0.097
H3 0.497 0.497 0.733
H4 0.503 0.503 0.267
H5 0.831 0.831 0.903
H6 0.833 0.833 0.393
Pd1 0.338 0.338 0.696
Pd2 0.662 0.662 0.304

Output
Space-group type: C2/m (12)
Total magnetic moment (μB per cell): 0.0
D(E_F) (states/eV per atom): 0.2146
Theoretical density (g/cm3): 7.267
Energy (eV/atom): -3.75

---

The following is a DFT calculation (PBE-GGA) of an optimized crystal structure of Ta5PPt.

a = 6.014 Å, b = 6.014 Å, c = 14.504 Å
α = 90.00°, β = 90.00°, γ = 151.55°
Fractional coordinates of all 14 atoms:
Ta1 0.120 0.880 0.636
Ta2 0.120 0.880 0.864
Ta3 0.218 0.782 0.250
Ta4 0.342 0.658 0.563
Ta5 0.342 0.658 0.937
Ta6 0.658 0.342 0.063
Ta7 0.658 0.342 0.437
Ta8 0.782 0.218 0.750
Ta9 0.880 0.120 0.136
Ta10 0.880 0.120 0.364
P1 0.000 0.000 0.000
P2 0.000 0.000 0.500
Pt1 0.479 0.521 0.750
Pt2 0.521 0.479 0.250

Output
Space-group type: Cmcm (63)
Total magnetic moment (μB per cell): 0.0
D(E_F) (states/eV per atom): 1.0439
Formation energy (eV per atom): -0.16
Theoretical density (g/cm3): 15.031
Energy (eV/atom): -10.27

---

The following is a DFT calculation (PBE-GGA) of an optimized crystal structure of In2OsSe.

a = 3.430 Å, b = 4.605 Å, c = 4.998 Å
α = 90.00°, β = 90.00°, γ = 90.00°
Fractional coordinates of all 4 atoms:
In1 0.000 0.000 0.000
In2 0.500 0.000 0.500
Os1 0.000 0.500 0.500
Se1 0.500 0.500 0.000

Output
Space-group type: Pmmm (47)
Total magnetic moment (μB per cell): 0.0
D(E_F) (states/eV per atom): 0.6242
Theoretical density (g/cm3): 10.491
Energy (eV/atom): -4.38

---

The following is a DFT calculation (PBE-GGA) of an optimized crystal structure of Li2CrPbCl8.

a = 6.240 Å, b = 6.277 Å, c = 7.787 Å
α = 88.24°, β = 88.21°, γ = 81.86°
Fractional coordinates of all 12 atoms:
Li1 0.042 0.043 0.227
Li2 0.958 0.957 0.773
Cr1 0.500 0.500 0.000
Pb1 0.500 0.500 0.500
Cl1 0.175 0.828 0.500
Cl2 0.212 0.793 0.999
Cl3 0.316 0.323 0.219
Cl4 0.323 0.328 0.797
Cl5 0.677 0.672 0.203
Cl6 0.684 0.677 0.781
Cl7 0.788 0.207 0.001
Cl8 0.825 0.172 0.500

Output
Space-group type: P-1 (2)
Total magnetic moment (μB per cell): 2.7
D(E_F) (states/eV per atom): 0.2930
Theoretical density (g/cm3): 3.064
Energy (eV/atom): -3.87

---

The following is a DFT calculation (PBE-GGA) of an optimized crystal structure of LiYNpS3.

a = 8.085 Å, b = 3.810 Å, c = 8.373 Å
α = 90.00°, β = 102.46°, γ = 90.00°
Fractional coordinates of all 12 atoms:
Li1 0.087 0.250 0.079
Li2 0.913 0.750 0.921
Y1 0.338 0.750 0.330
Y2 0.662 0.250 0.670
Np1 0.173 0.250 0.709
Np2 0.827 0.750 0.291
S1 0.099 0.250 0.363
S2 0.215 0.750 0.990
S3 0.420 0.750 0.668
S4 0.580 0.250 0.332
S5 0.785 0.250 0.010
S6 0.901 0.750 0.637

Output
Space-group type: P2_1/m (11)
Total magnetic moment (μB per cell): 9.3
D(E_F) (states/eV per atom): 1.5859
Theoretical density (g/cm3): 5.658
Energy (eV/atom): -7.17

---

The following is a DFT calculation (PBE-GGA) of an optimized crystal structure of LaCu2As.

a = 3.102 Å, b = 3.757 Å, c = 6.574 Å
α = 90.00°, β = 90.00°, γ = 90.00°
Fractional coordinates of all 4 atoms:
La1 0.000 0.000 0.000
Cu1 0.000 0.000 0.515
Cu2 0.500 0.500 0.668
As1 0.500 0.500 0.294

Output
Space-group type: Pmm2 (25)
Total magnetic moment (μB per cell): 0.0
D(E_F) (states/eV per atom): 0.5323
Formation energy (eV per atom): -0.17
Theoretical density (g/cm3): 7.390
Energy (eV/atom): -4.62

---

The following is a DFT calculation (PBE-GGA) of an optimized crystal structure of NaLaMgHg.

a = 7.487 Å, b = 7.487 Å, c = 7.487 Å
α = 90.00°, β = 90.00°, γ = 90.00°
Fractional coordinates of all 16 atoms:
Na1 0.000 0.000 0.000
Na2 0.000 0.500 0.500
Na3 0.500 0.000 0.500
Na4 0.500 0.500 0.000
La1 0.250 0.250 0.250
La2 0.250 0.750 0.750
La3 0.750 0.250 0.750
La4 0.750 0.750 0.250
Mg1 0.250 0.250 0.750
Mg2 0.250 0.750 0.250
Mg3 0.750 0.250 0.250
Mg4 0.750 0.750 0.750
Hg1 0.000 0.000 0.500
Hg2 0.000 0.500 0.000
Hg3 0.500 0.000 0.000
Hg4 0.500 0.500 0.500

Output
Space-group type: F-43m (216)
Total magnetic moment (μB per cell): 0.0
D(E_F) (states/eV per atom): 0.3611
Formation energy (eV per atom): -0.22
Theoretical density (g/cm3): 6.122
Energy (eV/atom): -2.25

---

The following is a DFT calculation (PBE-GGA) of an optimized crystal structure of Ac3Sc.

a = 7.746 Å, b = 7.746 Å, c = 6.116 Å
α = 90.00°, β = 90.00°, γ = 120.00°
Fractional coordinates of all 8 atoms:
Ac1 0.172 0.344 0.250
Ac2 0.172 0.828 0.250
Ac3 0.344 0.172 0.750
Ac4 0.656 0.828 0.250
Ac5 0.828 0.172 0.750
Ac6 0.828 0.656 0.750
Sc1 0.333 0.667 0.750
Sc2 0.667 0.333 0.250

Output
Space-group type: P6_3/mmc (194)
Total magnetic moment (μB per cell): 0.0
Distance to the lowest polymorph of the same formula (meV per atom): 7
D(E_F) (states/eV per atom): 1.5423
Formation energy (eV per atom): 0.10
Theoretical density (g/cm3): 7.587
Energy (eV/atom): -4.56

---

The following is a DFT calculation (PBE-GGA) of an optimized crystal structure of LiCu2Pb.

a = 4.022 Å, b = 4.022 Å, c = 4.017 Å
α = 90.00°, β = 90.00°, γ = 90.00°
Fractional coordinates of all 4 atoms:
Li1 0.000 0.000 0.000
Cu1 0.000 0.500 0.500
Cu2 0.500 0.000 0.500
Pb1 0.500 0.500 0.000

Output
Space-group type: P4/mmm (123)
Total magnetic moment (μB per cell): 0.0
D(E_F) (states/eV per atom): 0.2789
Formation energy (eV per atom): 0.05
Theoretical density (g/cm3): 8.720
Energy (eV/atom): -3.40

---

The following is a DFT calculation (PBE-GGA) of an optimized crystal structure of PrY2Er12.

a = 6.395 Å, b = 6.395 Å, c = 24.658 Å
α = 90.00°, β = 90.00°, γ = 90.00°
Fractional coordinates of all 30 atoms:
Pr1 0.250 0.750 0.000
Pr2 0.750 0.250 0.000
Y1 0.250 0.750 0.273
Y2 0.250 0.750 0.727
Y3 0.750 0.250 0.273
Y4 0.750 0.250 0.727
Er1 0.000 0.000 0.115
Er2 0.000 0.000 0.885
Er3 0.000 0.500 0.115
Er4 0.000 0.500 0.885
Er5 0.081 0.581 0.439
Er6 0.081 0.919 0.561
Er7 0.250 0.250 0.216
Er8 0.250 0.250 0.340
Er9 0.250 0.250 0.660
Er10 0.250 0.250 0.784
Er11 0.419 0.581 0.561
Er12 0.419 0.919 0.439
Er13 0.500 0.000 0.115
Er14 0.500 0.000 0.885
Er15 0.500 0.500 0.115
Er16 0.500 0.500 0.885
Er17 0.581 0.081 0.561
Er18 0.581 0.419 0.439
Er19 0.750 0.750 0.216
Er20 0.750 0.750 0.340
Er21 0.750 0.750 0.660
Er22 0.750 0.750 0.784
Er23 0.919 0.081 0.439
Er24 0.919 0.419 0.561

Output
Space-group type: P4/nbm (125)
Total magnetic moment (μB per cell): 0.0
D(E_F) (states/eV per atom): 1.7827
Formation energy (eV per atom): 0.37
Theoretical density (g/cm3): 7.660
Energy (eV/atom): -4.46